Entry 1:
First-principles (GGA-PBE) data for a relaxed structure of Ca2MnCd, as listed in Alexandria.

abc: 8.3796 8.3796 6.6281
angles: 90.00 90.00 90.00
Space group I-42d (No. 122)
Asymmetric unit:
Ca 0.2442 0.7500 0.1250 [8 per cell]
Mn 0.0000 0.0000 0.0000 [4 per cell]
Cd 0.0000 0.0000 0.5000 [4 per cell]

Output
Its density of states at the Fermi level is 5.1 states/eV/f.u. The value obtained for the formation energy is 1.635 eV per formula unit. The crystal system is tetragonal.

***

Entry 2:
First-principles (GGA-PBE) data for a relaxed structure of KRb2GaHg, as listed in Alexandria.

abc: 7.1022 7.1022 5.3569
angles: 90.00 90.00 90.00
Space group P4/mmm (No. 123)
Asymmetric unit:
K 0.0000 0.0000 0.0000 [1 per cell]
Rb 0.0000 0.5000 0.5000 [2 per cell]
Ga 0.5000 0.5000 0.0000 [1 per cell]
Hg 0.5000 0.5000 0.5000 [1 per cell]

Output
Its density of states at the Fermi level is 1.9 states/eV/f.u. As for the energy above the most stable polymorph in this dataset: 0.000 eV per atom. The value obtained for the formation energy is 0.128 eV per formula unit. The crystal system is tetragonal.

***

Entry 3:
First-principles (GGA-PBE) data for a relaxed structure of DyTm2Th, as listed in Alexandria.

abc: 5.0022 5.0022 4.9438
angles: 90.00 90.00 90.00
Space group P4/mmm (No. 123)
Asymmetric unit:
Dy 0.0000 0.0000 0.0000 [1 per cell]
Tm 0.0000 0.5000 0.5000 [2 per cell]
Th 0.5000 0.5000 0.0000 [1 per cell]

Output
Its density of states at the Fermi level is 6.2 states/eV/f.u. As for the energy above the most stable polymorph in this dataset: 0.012 eV per atom. The value obtained for the formation energy is 0.142 eV per formula unit. The crystal system is tetragonal.

***

Entry 4:
First-principles (GGA-PBE) data for a relaxed structure of ZnFeTc2, as listed in Alexandria.

abc: 2.6949 2.6949 26.1084
angles: 90.00 90.00 120.00
Space group R-3m (No. 166, hexagonal axes)
Asymmetric unit:
Zn 0.0000 0.0000 0.0000 [3 per cell]
Fe 0.0000 0.0000 0.5000 [3 per cell]
Tc 0.0000 0.0000 0.2454 [6 per cell]

Output
Its density of states at the Fermi level is 3.0 states/eV/f.u. The value obtained for the formation energy is 0.510 eV per formula unit. The crystal system is trigonal.

***

Entry 5:
First-principles (GGA-PBE) data for a relaxed structure of Ho4InPb, as listed in Alexandria.

abc: 5.1641 5.1641 7.2778
angles: 90.00 90.00 90.00
Space group P4/mmm (No. 123)
Asymmetric unit:
Ho 0.0000 0.5000 0.2434 [4 per cell]
In 0.0000 0.0000 0.0000 [1 per cell]
Pb 0.5000 0.5000 0.5000 [1 per cell]

Output
Its density of states at the Fermi level is 7.4 states/eV/f.u. The value obtained for the formation energy is -0.872 eV per formula unit. The crystal system is tetragonal.

***

Entry 6:
First-principles (GGA-PBE) data for a relaxed structure of Zr2ScUP4, as listed in Alexandria.

abc: 6.5472 3.7857 6.5659
angles: 90.00 109.19 90.00
Space group P2/m (No. 10)
Asymmetric unit:
Zr 0.0000 0.0000 0.0000 [1 per cell]
Zr 0.5000 0.5000 0.0000 [1 per cell]
Sc 0.0000 0.5000 0.5000 [1 per cell]
U 0.5000 0.0000 0.5000 [1 per cell]
P 0.2441 0.5000 0.2455 [2 per cell]
P 0.2477 0.0000 0.7503 [2 per cell]

Output
Its density of states at the Fermi level is 6.2 states/eV/f.u. The value obtained for the formation energy is -10.625 eV per formula unit. The crystal system is monoclinic.

***

Entry 7:
First-principles (GGA-PBE) data for a relaxed structure of PmPuGe2Pd2, as listed in Alexandria.

abc: 4.4211 4.4211 7.4568
angles: 90.00 90.00 120.00
Space group P-3m1 (No. 164)
Asymmetric unit:
Pm 0.0000 0.0000 0.0000 [1 per cell]
Pu 0.0000 0.0000 0.5000 [1 per cell]
Ge 0.3333 0.6667 0.7380 [2 per cell]
Pd 0.3333 0.6667 0.2527 [2 per cell]

Output
Its density of states at the Fermi level is 13.2 states/eV/f.u. The value obtained for the formation energy is -4.472 eV per formula unit. The crystal system is trigonal.

***

In the order shown, the computed calculated volume values come out to 29.09 54.04 30.93 13.68 32.35 19.21 21.04 Å³/atom.